Entry from Alexandria via LeMat-Bulk: a relaxed AcLa2ErP4 crystal (PBE).

The structure belongs to space group P2/m (No. 10); the cell edges are 7.353, 4.255 and 7.362 Å and the angles 90.00°, 109.40° and 90.00°. The inequivalent atoms are Ac at (0.000, 0.000, 0.000), La at (0.500, 0.000, 0.500), La at (0.500, 0.500, 0.000), Er at (0.000, 0.500, 0.500), P at (0.243, 0.000, 0.736) and P at (0.251, 0.500, 0.263).

The calculation puts the energy at -6.528 eV per atom. Its crystal system is monoclinic.


Entry from Alexandria via LeMat-Bulk: a relaxed Ac2LaErP4 crystal (PBE).

The structure belongs to space group P2/m (No. 10); the cell edges are 7.422, 4.293 and 7.431 Å and the angles 90.00°, 109.41° and 90.00°. The inequivalent atoms are Ac at (0.000, 0.000, 0.000), Ac at (0.500, 0.500, 0.000), La at (0.000, 0.500, 0.500), Er at (0.500, 0.000, 0.500), P at (0.252, 0.000, 0.734) and P at (0.264, 0.500, 0.270).

The calculation puts the energy at -6.403 eV per atom. Its crystal system is monoclinic.


Entry from Alexandria via LeMat-Bulk: a relaxed AcLa6PmEr2 crystal (PBE).

The structure belongs to space group C2/c (No. 15); the cell edges are 9.492, 15.532 and 10.014 Å and the angles 90.00°, 97.56° and 90.00°. The inequivalent atoms are Ac at (0.000, 0.028, 0.250), La at (0.069, 0.178, 0.948), La at (0.097, 0.393, 0.122), La at (0.220, 0.227, 0.315), Pm at (0.000, 0.409, 0.750) and Er at (0.249, 0.450, 0.453).

The calculation puts the energy at -4.650 eV per atom. Its crystal system is monoclinic.


Entry from Alexandria via LeMat-Bulk: a relaxed AcLa5Pm2Er crystal (PBE).

The structure belongs to space group I4/mcm (No. 140); the cell edges are 9.293, 9.293 and 15.437 Å and the angles 90.00°, 90.00° and 90.00°. The inequivalent atoms are Ac at (0.000, 0.000, 0.250), La at (0.000, 0.000, 0.000), La at (0.203, 0.297, 0.133), Pm at (0.114, 0.386, 0.500) and Er at (0.000, 0.500, 0.250).

The calculation puts the energy at -4.505 eV per atom. Its crystal system is tetragonal.


Entry from Alexandria via LeMat-Bulk: a relaxed Ac2LaPm4Er crystal (PBE).

The structure belongs to space group P2 (No. 3); the cell edges are 7.501, 7.490 and 10.440 Å and the angles 90.00°, 90.05° and 90.00°. The inequivalent atoms are Ac at (0.000, 0.000, 0.000), Ac at (0.000, 0.001, 0.500), Ac at (0.000, 0.501, 0.500), Ac at (0.500, 0.000, 0.500), La at (0.000, 0.500, 0.000), La at (0.500, 0.501, 0.000), Pm at (0.257, 0.254, 0.754), Pm at (0.257, 0.747, 0.246), Pm at (0.258, 0.254, 0.246), Pm at (0.258, 0.746, 0.754), Er at (0.500, 0.000, 0.000) and Er at (0.500, 0.500, 0.500).

The calculation puts the energy at -4.553 eV per atom. Its crystal system is monoclinic.


Entry from Alexandria via LeMat-Bulk: a relaxed AcLa2PmEr5 crystal (PBE).

The structure belongs to space group I4/mcm (No. 140); the cell edges are 8.785, 8.785 and 15.881 Å and the angles 90.00°, 90.00° and 90.00°. The inequivalent atoms are Ac at (0.000, 0.000, 0.250), La at (0.117, 0.383, 0.000), Pm at (0.000, 0.500, 0.250), Er at (0.000, 0.000, 0.000) and Er at (0.211, 0.289, 0.364).

The calculation puts the energy at -4.371 eV per atom. Its crystal system is tetragonal.


Entry from Alexandria via LeMat-Bulk: a relaxed AcLaPm2Er crystal (PBE).

The structure belongs to space group Cmcm (No. 63); the cell edges are 8.540, 12.111 and 7.356 Å and the angles 90.00°, 90.00° and 90.00°. The inequivalent atoms are Ac at (0.000, 0.243, 0.250), La at (0.000, 0.488, 0.750), Pm at (0.187, 0.000, 0.000) and Er at (0.000, 0.210, 0.750).

The calculation puts the energy at -4.278 eV per atom. Its crystal system is orthorhombic.


Entry from Alexandria via LeMat-Bulk: a relaxed AcLa2Pm2Er2 crystal (PBE).

The structure belongs to space group C2/m (No. 12); the cell edges are 11.644, 5.211 and 8.285 Å and the angles 90.00°, 98.22° and 90.00°. The inequivalent atoms are Ac at (0.000, 0.000, 0.000), La at (0.215, 0.500, 0.149), Pm at (0.141, 0.000, 0.431) and Er at (0.074, 0.500, 0.704).

The calculation puts the energy at -4.617 eV per atom. Its crystal system is monoclinic.


Q: Number 3 is which compound?
A: AcLa6PmEr2